No. 1
The following is a GGA-PBE calculation of SrZn3Pd3 after structural relaxation, from the Alexandria database.

Summary:
- energy of formation (eV/atom) = -0.223
- energy above the most stable polymorph in this dataset (meV per atom) = 209

abc: 6.889 6.889 6.889
angles: 90.00 90.00 90.00
Element x y z (fractional)
Sr (0.000, 0.000, 0.000)
Sr (0.500, 0.500, 0.500)
Zn (0.000, 0.250, 0.500)
Zn (0.000, 0.750, 0.500)
Zn (0.250, 0.500, 0.000)
Zn (0.500, 0.000, 0.250)
Zn (0.500, 0.000, 0.750)
Zn (0.750, 0.500, 0.000)
Pd (0.000, 0.500, 0.250)
Pd (0.000, 0.500, 0.750)
Pd (0.250, 0.000, 0.500)
Pd (0.500, 0.250, 0.000)
Pd (0.500, 0.750, 0.000)
Pd (0.750, 0.000, 0.500)

***

No. 2
The following is a GGA-PBE calculation of Sr2Zn4Pd after structural relaxation, from the Alexandria database.

Summary:
- energy of formation (eV/atom) = -0.180

abc: 8.776 8.776 8.776
angles: 147.84 147.84 46.12
Element x y z (fractional)
Sr (0.146, 0.146, 0.000)
Sr (0.854, 0.854, 0.000)
Zn (0.000, 0.500, 0.500)
Zn (0.345, 0.345, 0.000)
Zn (0.500, 0.000, 0.500)
Zn (0.655, 0.655, 0.000)
Pd (0.500, 0.500, 0.000)

***

No. 3
The following is a GGA-PBE calculation of Sr3Zn2Pd after structural relaxation, from the Alexandria database.

Summary:
- energy of formation (eV/atom) = -0.378

abc: 12.821 4.474 13.097
angles: 90.00 90.00 90.00
Element x y z (fractional)
Sr (0.056, 0.250, 0.127)
Sr (0.115, 0.750, 0.553)
Sr (0.217, 0.250, 0.796)
Sr (0.283, 0.750, 0.296)
Sr (0.385, 0.250, 0.053)
Sr (0.444, 0.750, 0.627)
Sr (0.556, 0.250, 0.373)
Sr (0.615, 0.750, 0.947)
Sr (0.717, 0.250, 0.704)
Sr (0.783, 0.750, 0.204)
Sr (0.885, 0.250, 0.447)
Sr (0.944, 0.750, 0.873)
Zn (0.028, 0.750, 0.314)
Zn (0.205, 0.750, 0.987)
Zn (0.295, 0.250, 0.487)
Zn (0.472, 0.250, 0.814)
Zn (0.528, 0.750, 0.186)
Zn (0.705, 0.750, 0.513)
Zn (0.795, 0.250, 0.013)
Zn (0.972, 0.250, 0.686)
Pd (0.124, 0.250, 0.370)
Pd (0.376, 0.750, 0.870)
Pd (0.624, 0.250, 0.130)
Pd (0.876, 0.750, 0.630)

***

The lowest energy of formation belongs to which entry?
Sr3Zn2Pd

***

What is the energy of formation in the third record?
-0.378 eV/atom